(1)
The following is a DFT calculation (PBE) of Si2TcP after structural relaxation.

Structure (extended XYZ):
```
4
Lattice="3.996 0.000 0.000 0.000 3.214 0.011 0.000 1.605 4.400" Properties=species:S:1:pos:R:3 pbc="T T T"
P 1.998 3.012 3.499
Si 1.998 1.407 1.366
Si 0.000 4.617 4.050
Tc 0.000 3.012 2.111
```

Summary:
- raw formation energy (eV/atom) = -0.11
- space-group type = Pm
- DOS(E_F) (states/eV/atom) = 0.27

(2)
The following is a DFT calculation (PBE) of PmErNi after structural relaxation.

Structure (extended XYZ):
```
6
Lattice="-6.300 -0.426 4.956 -6.536 4.634 -0.499 5.146 -5.581 -2.608" Properties=species:S:1:pos:R:3 pbc="T T T"
Ni -0.217 -1.131 0.442
Pm -5.453 1.086 0.099
Ni -0.937 -4.876 1.906
Er -2.247 0.035 -1.015
Er -5.443 -1.408 2.864
Pm -2.236 -2.459 1.750
```

Summary:
- energy of formation (eV/atom) = -0.045
- energy relative to the lowest polymorph listed for this composition (meV per atom) = 167.4
- space-group type = Immm
- DOS(E_F) (states/eV/atom) = 1.45

(3)
The following is a DFT calculation (PBE) of ReRuAu2 after structural relaxation.

Structure (extended XYZ):
```
4
Lattice="4.895 0.009 -0.092 1.662 4.604 0.092 -3.227 -2.380 2.810" Properties=species:S:1:pos:R:3 pbc="T T T"
Au 6.557 4.613 0.000
Au 2.474 -0.032 1.359
Ru 0.856 2.265 1.451
Re 3.280 2.307 0.000
```

Summary:
- energy of formation (eV/atom) = 0.473
- energy relative to the lowest polymorph listed for this composition (meV per atom) = 313.4
- space-group type = I-4m2
- DOS(E_F) (states/eV/atom) = 0.85

(4)
The following is a DFT calculation (PBE) of BaEu2Bi after structural relaxation.

Structure (extended XYZ):
```
4
Lattice="-2.492 2.016 2.988 0.813 -3.224 2.854 6.886 4.270 2.862" Properties=species:S:1:pos:R:3 pbc="T T T"
Eu 1.292 0.801 0.537
Bi -0.839 -0.604 2.921
Ba 2.604 1.531 4.352
Eu 5.594 3.468 2.325
```

Summary:
- energy of formation (eV/atom) = -0.405
- energy relative to the lowest polymorph listed for this composition (meV per atom) = 33.2
- space-group type = P4/mmm
- DOS(E_F) (states/eV/atom) = 0.88